Here is an optimized crystal structure of ThInSi from Alexandria. Energies are from PBE.

Geometry as extended XYZ:
```
6
Lattice="2.227 -8.815 0.000 2.227 8.815 0.000 0.000 0.000 3.859" Properties=species:S:1:pos:R:3 pbc="T T T"
Th 2.227 7.206 2.894
Th 2.227 -7.206 0.965
In 2.227 4.142 0.965
In 2.227 -4.142 2.894
Si 2.227 0.763 2.894
Si 2.227 -0.763 0.965
```

Properties
The total energy is -5.60 eV/atom. As for the space-group type: Cmcm. For the raw formation energy, the calculation gives -0.407 eV per atom.